No. 1
SbMoBr | PBE | optimized geometry

POSCAR file:
```
SbMoBr
1.0
3.1082 0.0000 0.0000
0.0000 5.8355 0.0000
0.0000 0.0000 16.7048
Sb Mo Br
4 4 4
direct
0.0000 0.0000 0.0000
0.0000 0.5000 0.5000
0.5000 0.0000 0.5000
0.5000 0.5000 0.0000
0.0000 0.0000 0.6425
0.0000 0.5000 0.1425
0.5000 0.0000 0.1425
0.5000 0.5000 0.6425
0.0000 0.0000 0.2632
0.0000 0.5000 0.7632
0.5000 0.0000 0.7632
0.5000 0.5000 0.2632
```

Output
M_tot in μB/cell: 3.62
SG: Fmm2, No. 42
Energy relative to the lowest polymorph listed for this composition in eV/atom: 0.284
Total DFT energy (no corrections) in eV/atom: -5.1841
Formation energy (no corrections) in eV per atom: 0.358



No. 2
SbMo3Br | PBE | optimized geometry

POSCAR file:
```
SbMo3Br
1.0
4.6725 0.0000 0.0000
0.0000 4.6725 0.0000
0.0000 0.0000 4.6725
Sb Mo Br
1 3 1
direct
0.0000 0.0000 0.0000
0.0000 0.5000 0.5000
0.5000 0.0000 0.5000
0.5000 0.5000 0.0000
0.5000 0.5000 0.5000
```

Output
M_tot in μB/cell: 2.16
SG: Pm-3m, No. 221
Energy relative to the lowest polymorph listed for this composition in eV/atom: 0.000
Total DFT energy (no corrections) in eV/atom: -6.1456
Formation energy (no corrections) in eV per atom: 1.512



No. 3
SbMoBr | PBE | optimized geometry

POSCAR file:
```
SbMoBr
1.0
3.3434 0.0000 0.0000
-1.6717 2.8955 0.0000
0.0000 0.0000 7.6804
Sb Mo Br
1 1 1
direct
0.0000 0.0000 0.0000
0.3333 0.6667 0.7334
0.6667 0.3333 0.5045
```

Output
M_tot in μB/cell: 0.00
SG: P3m1, No. 156
Energy relative to the lowest polymorph listed for this composition in eV/atom: 0.000
Total DFT energy (no corrections) in eV/atom: -5.4682
Formation energy (no corrections) in eV per atom: 0.074



No. 4
SbMoBr | PBE | optimized geometry

POSCAR file:
```
SbMoBr
1.0
4.7076 0.0000 0.0000
-2.3538 4.0769 0.0000
0.0000 0.0000 3.3103
Sb Mo Br
1 1 1
direct
0.0000 0.0000 0.0000
0.6667 0.3333 0.5000
0.3333 0.6667 0.5000
```

Output
M_tot in μB/cell: 1.92
SG: P-6m2, No. 187
Energy relative to the lowest polymorph listed for this composition in eV/atom: 0.496
Total DFT energy (no corrections) in eV/atom: -4.9720
Formation energy (no corrections) in eV per atom: 0.570



No. 5
SbMoSe2Br | PBE | optimized geometry

POSCAR file:
```
SbMoSe2Br
1.0
4.9791 0.0000 0.0000
0.0000 4.9791 0.0000
0.0000 0.0000 5.1105
Sb Mo Se Br
1 1 2 1
direct
0.0000 0.0000 0.0000
0.5000 0.5000 0.5000
0.0000 0.5000 0.5000
0.5000 0.0000 0.5000
0.5000 0.5000 0.0000
```

Output
M_tot in μB/cell: 1.93
SG: P4/mmm, No. 123
Energy relative to the lowest polymorph listed for this composition in eV/atom: 0.000
Total DFT energy (no corrections) in eV/atom: -4.4254
Formation energy (no corrections) in eV per atom: 0.294



No. 6
SbMoSeBr2 | PBE | optimized geometry

POSCAR file:
```
SbMoSeBr2
1.0
5.1751 0.0000 0.0000
0.0000 5.1751 0.0000
0.0000 0.0000 4.9771
Sb Mo Se Br
1 1 1 2
direct
0.0000 0.0000 0.0000
0.5000 0.5000 0.5000
0.5000 0.5000 0.0000
0.0000 0.5000 0.5000
0.5000 0.0000 0.5000
```

Output
M_tot in μB/cell: 2.45
SG: P4/mmm, No. 123
Energy relative to the lowest polymorph listed for this composition in eV/atom: 0.000
Total DFT energy (no corrections) in eV/atom: -4.0240
Formation energy (no corrections) in eV per atom: 0.333



No. 7
SbTe2MoBr | PBE | optimized geometry

POSCAR file:
```
SbTe2MoBr
1.0
5.2388 0.0000 0.0000
0.0000 5.2388 0.0000
0.0000 0.0000 5.3883
Sb Te Mo Br
1 2 1 1
direct
0.0000 0.0000 0.0000
0.0000 0.5000 0.5000
0.5000 0.0000 0.5000
0.0000 0.0000 0.5000
0.5000 0.5000 0.0000
```

Output
M_tot in μB/cell: 0.00
SG: P4/mmm, No. 123
Energy relative to the lowest polymorph listed for this composition in eV/atom: 0.000
Total DFT energy (no corrections) in eV/atom: -4.3213
Formation energy (no corrections) in eV per atom: 0.261



No. 8
SbTe2MoBr | PBE | optimized geometry

POSCAR file:
```
SbTe2MoBr
1.0
5.5892 0.0000 0.0000
0.0000 5.5892 0.0000
0.0000 0.0000 5.4224
Sb Te Mo Br
1 2 1 1
direct
0.0000 0.0000 0.0000
0.0000 0.5000 0.5000
0.5000 0.0000 0.5000
0.5000 0.5000 0.0000
0.0000 0.0000 0.5000
```

Output
M_tot in μB/cell: 2.64
SG: P4/mmm, No. 123
Energy relative to the lowest polymorph listed for this composition in eV/atom: 1.211
Total DFT energy (no corrections) in eV/atom: -3.1105
Formation energy (no corrections) in eV per atom: 1.471